Entry from the Alexandria database: a relaxed structure of KY3Ta (PBE).

Energy in eV per atom: -5.8382
Formation energy in eV per atom: 0.630
Excess energy over the best structure of this formula in the dataset in eV per atom: 0.000
Calculated volume in Å³ per cell: 185.6
Total magnetic moment in μB per formula unit: 0.003

```
KY3Ta
1.0
5.7046 0.0000 0.0000
0.0000 5.7046 0.0000
0.0000 0.0000 5.7046
K Y Ta
1 3 1
direct
0.0000 0.0000 0.0000 K
0.0000 0.5000 0.5000 Y
0.5000 0.0000 0.5000 Y
0.5000 0.5000 0.0000 Y
0.5000 0.5000 0.5000 Ta
```

Entry from the Alexandria database: a relaxed structure of KY2Ta (PBE).

Energy in eV per atom: -6.1305
Formation energy in eV per atom: 0.339
Excess energy over the best structure of this formula in the dataset in eV per atom: 0.049
Calculated volume in Å³ per cell: 282.4
Total magnetic moment in μB per formula unit: 0.000

```
KY2Ta
1.0
12.4566 -1.7183 0.0000
12.4566 1.7183 0.0000
-1.8597 0.0000 6.5958
K Y Ta
2 4 2
direct
0.0000 0.0000 0.0000 K
0.5613 0.5613 0.5607 K
0.1845 0.1845 0.1931 Y
0.2102 0.2102 0.7187 Y
0.3511 0.3511 0.8581 Y
0.3768 0.3768 0.3833 Y
0.7807 0.7807 0.0931 Ta
0.7806 0.7806 0.4836 Ta
```

Entry from the Alexandria database: a relaxed structure of KY2Ta (PBE).

Energy in eV per atom: -5.3500
Formation energy in eV per atom: 1.120
Excess energy over the best structure of this formula in the dataset in eV per atom: 0.830
Calculated volume in Å³ per cell: 118.7
Total magnetic moment in μB per formula unit: 2.457

```
KY2Ta
1.0
0.0000 3.9008 3.9008
3.9008 0.0000 3.9008
3.9008 3.9008 0.0000
K Y Ta
1 2 1
direct
0.0000 0.0000 0.0000 K
0.5000 0.5000 0.5000 Y
0.7500 0.7500 0.7500 Y
0.2500 0.2500 0.2500 Ta
```

Entry from the Alexandria database: a relaxed structure of KY2Ta (PBE).

Energy in eV per atom: -6.1307
Formation energy in eV per atom: 0.339
Excess energy over the best structure of this formula in the dataset in eV per atom: 0.049
Calculated volume in Å³ per cell: 325.5
Total magnetic moment in μB per formula unit: 0.000

```
KY2Ta
1.0
-2.3264 13.9808 2.5016
2.3264 -13.9808 2.5016
2.3264 13.9808 -2.5016
K Y Ta
2 4 2
direct
0.1956 0.0000 0.1956 K
0.8044 0.0000 0.8044 K
0.0353 0.4647 0.5707 Y
0.4129 0.4843 0.9286 Y
0.5558 0.4843 0.0714 Y
0.8940 0.4647 0.4293 Y
0.0366 0.0366 0.0000 Ta
0.4139 0.9139 0.5000 Ta
```

Entry from the Alexandria database: a relaxed structure of KY2Ta (PBE).

Energy in eV per atom: -5.3837
Formation energy in eV per atom: 1.086
Excess energy over the best structure of this formula in the dataset in eV per atom: 0.796
Calculated volume in Å³ per cell: 118.1
Total magnetic moment in μB per formula unit: 0.930

```
KY2Ta
1.0
3.3470 0.0000 0.0000
0.0000 5.7203 0.0000
0.0000 0.0000 6.1662
K Y Ta
1 2 1
direct
0.0000 0.0000 0.0000 K
0.0000 0.5000 0.5000 Y
0.5000 0.5000 0.0000 Y
0.5000 0.0000 0.5000 Ta
```

Entry from the Alexandria database: a relaxed structure of KYTa2 (PBE).

Energy in eV per atom: -6.7799
Formation energy in eV per atom: 1.037
Excess energy over the best structure of this formula in the dataset in eV per atom: 0.514
Calculated volume in Å³ per cell: 108.8
Total magnetic moment in μB per formula unit: 0.000

```
KYTa2
1.0
-1.6127 3.0166 5.5885
1.6127 -3.0166 5.5885
1.6127 3.0166 -5.5885
K Y Ta
1 1 2
direct
0.0000 0.0000 0.0000 K
0.7039 0.2039 0.5000 Y
0.2739 0.7739 0.5000 Ta
0.4526 0.4526 0.0000 Ta
```